Entry 1:
First-principles (PBE) data for AsRuPbSe2 after structural relaxation, as listed in Alexandria.

Cell: 5.267 5.267 4.640 Å, 90.00 90.00 90.00°
Sites, in units of the cell vectors:
Se 0.500 0.000 0.000
Pb 0.500 0.500 0.500
Se 0.000 0.500 0.000
Ru 0.000 0.000 0.000
As 0.000 0.000 0.500

Output
symmetry	P4/mmm
theoretical density	6.98	g/cm³
volume	128.7	Å³/cell
M_tot	0.0	μB per formula unit
energy relative to the elements, uncorrected	196.3	meV/atom

---

Entry 2:
First-principles (PBE) data for GeHSe2 after structural relaxation, as listed in Alexandria.

Cell: 4.584 4.584 4.584 Å, 60.00 60.00 60.00°
Sites, in units of the cell vectors:
Se 0.250 0.250 0.250
Se 0.750 0.750 0.750
H 0.000 0.000 0.000
Ge 0.500 0.500 0.500

Output
symmetry	Fm-3m
theoretical density	5.65	g/cm³
volume	68.1	Å³/cell
M_tot	0.2	μB per formula unit
uncorrected energy	-3.119	eV/atom